# Er3Tm4Te2 | the Alexandria database | GGA-PBE | optimized geometry
# * formation energy without anion corrections: -511 meV per atom
# * Fermi-level density of states: 19.2 states/eV/cell
data_Er3Tm4Te2
_chemical_formula_sum 'Er6 Tm8 Te4'
_symmetry_space_group_name_H-M 'C 1 2/m 1'
_symmetry_Int_Tables_number 12
_cell_length_a 17.4805
_cell_length_b 3.7975
_cell_length_c 9.3804
_cell_angle_alpha 90.00
_cell_angle_beta 122.38
_cell_angle_gamma 90.00
loop_
_symmetry_equiv_pos_as_xyz
'x,y,z'
'-x,-y,-z'
'-x,y,-z'
'x,-y,z'
'x+1/2,y+1/2,z'
'-x+1/2,-y+1/2,-z'
'-x+1/2,y+1/2,-z'
'x+1/2,-y+1/2,z'
loop_
_atom_site_label
_atom_site_type_symbol
_atom_site_fract_x
_atom_site_fract_y
_atom_site_fract_z
Er1 Er 0.0000 0.0000 0.0000
Er2 Er 0.1482 0.0000 0.7525
Tm1 Tm 0.0541 0.5000 0.3832
Tm2 Tm 0.2093 0.0000 0.3286
Te1 Te 0.1409 0.5000 0.0059

# Er3Tm3Te2 | the Alexandria database | GGA-PBE | optimized geometry
# * formation energy without anion corrections: -563 meV per atom
# * Fermi-level density of states: 31.5 states/eV/cell
data_Er3Tm3Te2
_chemical_formula_sum 'Er12 Tm12 Te8'
_symmetry_space_group_name_H-M 'C m c m'
_symmetry_Int_Tables_number 63
_symmetry_space_group_name_Hall '-C 2c 2'
_cell_length_a 3.8811
_cell_length_b 11.9526
_cell_length_c 19.5809
_cell_angle_alpha 90.00
_cell_angle_beta 90.00
_cell_angle_gamma 90.00
loop_
_atom_site_label
_atom_site_type_symbol
_atom_site_fract_x
_atom_site_fract_y
_atom_site_fract_z
Er1 Er 0.0000 0.0480 0.1185
Er2 Er 0.0000 0.3440 0.2500
Tm1 Tm 0.0000 0.3646 0.0182
Tm2 Tm 0.0000 0.3859 0.7500
Te1 Te 0.0000 0.2312 0.6266

# Er2Tm2Te3 | the Alexandria database | GGA-PBE | optimized geometry
# * formation energy without anion corrections: -976 meV per atom
# * Fermi-level density of states: 10.2 states/eV/cell
data_Er2Tm2Te3
_chemical_formula_sum 'Er4 Tm4 Te6'
_symmetry_space_group_name_H-M 'C 1 2/m 1'
_symmetry_Int_Tables_number 12
_cell_length_a 14.1511
_cell_length_b 4.0731
_cell_length_c 7.2825
_cell_angle_alpha 90.00
_cell_angle_beta 101.52
_cell_angle_gamma 90.00
loop_
_symmetry_equiv_pos_as_xyz
'x,y,z'
'-x,-y,-z'
'-x,y,-z'
'x,-y,z'
'x+1/2,y+1/2,z'
'-x+1/2,-y+1/2,-z'
'-x+1/2,y+1/2,-z'
'x+1/2,-y+1/2,z'
loop_
_atom_site_label
_atom_site_type_symbol
_atom_site_fract_x
_atom_site_fract_y
_atom_site_fract_z
Er1 Er 0.1085 0.0000 0.4049
Tm1 Tm 0.1147 0.5000 0.8191
Te1 Te 0.0000 0.0000 0.0000
Te2 Te 0.2319 0.5000 0.2360

# Er3Tm4Te4 | the Alexandria database | GGA-PBE | optimized geometry
# * formation energy without anion corrections: -834 meV per atom
# * Fermi-level density of states: 25.4 states/eV/cell
data_Er3Tm4Te4
_chemical_formula_sum 'Er6 Tm8 Te8'
_symmetry_space_group_name_H-M 'I m m m'
_symmetry_Int_Tables_number 71
_symmetry_space_group_name_Hall '-I 2 2'
_cell_length_a 3.8503
_cell_length_b 9.1228
_cell_length_c 17.3264
_cell_angle_alpha 90.00
_cell_angle_beta 90.00
_cell_angle_gamma 90.00
loop_
_atom_site_label
_atom_site_type_symbol
_atom_site_fract_x
_atom_site_fract_y
_atom_site_fract_z
Er1 Er 0.0000 0.0000 0.0000
Er2 Er 0.0000 0.5000 0.1025
Tm1 Tm 0.0000 0.3145 0.3346
Te1 Te 0.0000 0.0000 0.2616
Te2 Te 0.0000 0.1985 0.5000

# ErTm6Te2 | the Alexandria database | GGA-PBE | optimized geometry
# * formation energy without anion corrections: -400 meV per atom
# * Fermi-level density of states: 18.4 states/eV/cell
data_ErTm6Te2
_chemical_formula_sum 'Er2 Tm12 Te4'
_symmetry_space_group_name_H-M 'C 1 2/m 1'
_symmetry_Int_Tables_number 12
_cell_length_a 11.8714
_cell_length_b 5.6538
_cell_length_c 9.4768
_cell_angle_alpha 90.00
_cell_angle_beta 126.11
_cell_angle_gamma 90.00
loop_
_symmetry_equiv_pos_as_xyz
'x,y,z'
'-x,-y,-z'
'-x,y,-z'
'x,-y,z'
'x+1/2,y+1/2,z'
'-x+1/2,-y+1/2,-z'
'-x+1/2,y+1/2,-z'
'x+1/2,-y+1/2,z'
loop_
_atom_site_label
_atom_site_type_symbol
_atom_site_fract_x
_atom_site_fract_y
_atom_site_fract_z
Er1 Er 0.0000 0.0000 0.0000
Tm1 Tm 0.0759 0.0000 0.4065
Tm2 Tm 0.1503 0.5000 0.6740
Tm3 Tm 0.2185 0.5000 0.0713
Te1 Te 0.0969 0.5000 0.2818

# ErTmTe6 | the Alexandria database | GGA-PBE | optimized geometry
# * formation energy without anion corrections: -867 meV per atom
# * Fermi-level density of states: 5.8 states/eV/cell
data_ErTmTe6
_chemical_formula_sum 'Er2 Tm2 Te12'
_symmetry_space_group_name_H-M 'A m m 2'
_symmetry_Int_Tables_number 38
_cell_length_a 4.3280
_cell_length_b 4.3253
_cell_length_c 26.4919
_cell_angle_alpha 90.00
_cell_angle_beta 90.00
_cell_angle_gamma 90.00
loop_
_symmetry_equiv_pos_as_xyz
'x,y,z'
'-x,-y,z'
'-x,y,z'
'x,-y,z'
'x,y+1/2,z+1/2'
'-x,-y+1/2,z+1/2'
'-x,y+1/2,z+1/2'
'x,-y+1/2,z+1/2'
loop_
_atom_site_label
_atom_site_type_symbol
_atom_site_fract_x
_atom_site_fract_y
_atom_site_fract_z
Er1 Er 0.0000 0.0000 0.0000
Tm1 Tm 0.5000 0.0000 0.3459
Te1 Te 0.0000 0.0000 0.2521
Te2 Te 0.0000 0.0000 0.5941
Te3 Te 0.0000 0.0000 0.8805
Te4 Te 0.5000 0.0000 0.0940
Te5 Te 0.5000 0.0000 0.4650
Te6 Te 0.5000 0.0000 0.7520

# Er2Tm5Te4 | the Alexandria database | GGA-PBE | optimized geometry
# * formation energy without anion corrections: -614 meV per atom
# * Fermi-level density of states: 19.2 states/eV/cell
data_Er2Tm5Te4
_chemical_formula_sum 'Er4 Tm10 Te8'
_symmetry_space_group_name_H-M 'C 1 2/m 1'
_symmetry_Int_Tables_number 12
_cell_length_a 25.2211
_cell_length_b 4.0024
_cell_length_c 7.1566
_cell_angle_alpha 90.00
_cell_angle_beta 91.57
_cell_angle_gamma 90.00
loop_
_symmetry_equiv_pos_as_xyz
'x,y,z'
'-x,-y,-z'
'-x,y,-z'
'x,-y,z'
'x+1/2,y+1/2,z'
'-x+1/2,-y+1/2,-z'
'-x+1/2,y+1/2,-z'
'x+1/2,-y+1/2,z'
loop_
_atom_site_label
_atom_site_type_symbol
_atom_site_fract_x
_atom_site_fract_y
_atom_site_fract_z
Er1 Er 0.2345 0.0000 0.3060
Tm1 Tm 0.0000 0.0000 0.5000
Tm2 Tm 0.1392 0.5000 0.5064
Tm3 Tm 0.1600 0.5000 0.9948
Te1 Te 0.0494 0.5000 0.7662
Te2 Te 0.0955 0.0000 0.2260

# Er5TmTe4 | the Alexandria database | GGA-PBE | optimized geometry
# * formation energy without anion corrections: -859 meV per atom
# * Fermi-level density of states: 16.6 states/eV/cell
data_Er5TmTe4
_chemical_formula_sum 'Er10 Tm2 Te8'
_symmetry_space_group_name_H-M 'C 1 2/m 1'
_symmetry_Int_Tables_number 12
_cell_length_a 18.0857
_cell_length_b 4.0772
_cell_length_c 8.4838
_cell_angle_alpha 90.00
_cell_angle_beta 102.60
_cell_angle_gamma 90.00
loop_
_symmetry_equiv_pos_as_xyz
'x,y,z'
'-x,-y,-z'
'-x,y,-z'
'x,-y,z'
'x+1/2,y+1/2,z'
'-x+1/2,-y+1/2,-z'
'-x+1/2,y+1/2,-z'
'x+1/2,-y+1/2,z'
loop_
_atom_site_label
_atom_site_type_symbol
_atom_site_fract_x
_atom_site_fract_y
_atom_site_fract_z
Er1 Er 0.0000 0.0000 0.0000
Er2 Er 0.1639 0.5000 0.2777
Er3 Er 0.1895 0.5000 0.8614
Tm1 Tm 0.0000 0.0000 0.5000
Te1 Te 0.0123 0.5000 0.7545
Te2 Te 0.1676 0.0000 0.5614

# ErTm2Te2 | the Alexandria database | GGA-PBE | optimized geometry
# * formation energy without anion corrections: -875 meV per atom
# * offset from the most stable computed form: 0.0352 eV per atom
# * Fermi-level density of states: 16.5 states/eV/cell
data_ErTm2Te2
_chemical_formula_sum 'Er4 Tm8 Te8'
_symmetry_space_group_name_H-M 'P 1 21/c 1'
_symmetry_Int_Tables_number 14
_cell_length_a 6.0520
_cell_length_b 8.3295
_cell_length_c 11.8608
_cell_angle_alpha 90.00
_cell_angle_beta 109.49
_cell_angle_gamma 90.00
loop_
_symmetry_equiv_pos_as_xyz
'x,y,z'
'-x,-y,-z'
'-x,y+1/2,-z+1/2'
'x,-y+1/2,z+1/2'
loop_
_atom_site_label
_atom_site_type_symbol
_atom_site_fract_x
_atom_site_fract_y
_atom_site_fract_z
Er1 Er 0.0074 0.1674 0.3176
Tm1 Tm 0.3663 0.6722 0.9912
Tm2 Tm 0.3956 0.0012 0.2016
Te1 Te 0.1916 0.1487 0.6039
Te2 Te 0.2037 0.0141 0.9142

# Er3Tm2Te2 | the Alexandria database | GGA-PBE | optimized geometry
# * formation energy without anion corrections: -666 meV per atom
# * Fermi-level density of states: 14.2 states/eV/cell
data_Er3Tm2Te2
_chemical_formula_sum 'Er6 Tm4 Te4'
_symmetry_space_group_name_H-M 'C 1 2/m 1'
_symmetry_Int_Tables_number 12
_cell_length_a 13.0023
_cell_length_b 3.9080
_cell_length_c 8.4063
_cell_angle_alpha 90.00
_cell_angle_beta 111.55
_cell_angle_gamma 90.00
loop_
_symmetry_equiv_pos_as_xyz
'x,y,z'
'-x,-y,-z'
'-x,y,-z'
'x,-y,z'
'x+1/2,y+1/2,z'
'-x+1/2,-y+1/2,-z'
'-x+1/2,y+1/2,-z'
'x+1/2,-y+1/2,z'
loop_
_atom_site_label
_atom_site_type_symbol
_atom_site_fract_x
_atom_site_fract_y
_atom_site_fract_z
Er1 Er 0.0000 0.0000 0.0000
Er2 Er 0.1167 0.0000 0.4430
Tm1 Tm 0.1343 0.5000 0.7955
Te1 Te 0.1831 0.5000 0.2040

# ErTm8Te2 | the Alexandria database | GGA-PBE | optimized geometry
# * formation energy without anion corrections: -95 meV per atom
# * Fermi-level density of states: 23.4 states/eV/cell
data_ErTm8Te2
_chemical_formula_sum 'Er2 Tm16 Te4'
_symmetry_space_group_name_H-M 'C 1 2/m 1'
_symmetry_Int_Tables_number 12
_cell_length_a 14.7211
_cell_length_b 8.6215
_cell_length_c 5.6517
_cell_angle_alpha 90.00
_cell_angle_beta 99.43
_cell_angle_gamma 90.00
loop_
_symmetry_equiv_pos_as_xyz
'x,y,z'
'-x,-y,-z'
'-x,y,-z'
'x,-y,z'
'x+1/2,y+1/2,z'
'-x+1/2,-y+1/2,-z'
'-x+1/2,y+1/2,-z'
'x+1/2,-y+1/2,z'
loop_
_atom_site_label
_atom_site_type_symbol
_atom_site_fract_x
_atom_site_fract_y
_atom_site_fract_z
Er1 Er 0.0000 0.0000 0.0000
Tm1 Tm 0.0790 0.3145 0.7737
Tm2 Tm 0.1428 0.5000 0.2940
Tm3 Tm 0.2164 0.0000 0.1164
Te1 Te 0.1327 0.0000 0.5699

# Er2TmTe | the Alexandria database | GGA-PBE | optimized geometry
# * formation energy without anion corrections: -534 meV per atom
# * offset from the most stable computed form: 0.0890 eV per atom
# * Fermi-level density of states: 4.7 states/eV/cell
data_Er2TmTe
_chemical_formula_sum 'Er2 Tm1 Te1'
_symmetry_space_group_name_H-M 'P 4/m m m'
_symmetry_Int_Tables_number 123
_symmetry_space_group_name_Hall '-P 4 2'
_cell_length_a 3.8318
_cell_length_b 3.8318
_cell_length_c 7.7238
_cell_angle_alpha 90.00
_cell_angle_beta 90.00
_cell_angle_gamma 90.00
loop_
_atom_site_label
_atom_site_type_symbol
_atom_site_fract_x
_atom_site_fract_y
_atom_site_fract_z
Er1 Er 0.0000 0.0000 0.2287
Tm1 Tm 0.5000 0.5000 0.5000
Te1 Te 0.5000 0.5000 0.0000